Entry 1:
# CuHgC2, optimized geometry, DFT PBE
# Space-group type = I-42d, No. 122
# Calculated formation energy = 1.966 eV/atom
# DOS(E_F) = 5.52 states/eV/cell
data_CuHgC2
_cell_length_a 5.8055
_cell_length_b 5.8055
_cell_length_c 5.8055
_cell_angle_alpha 129.62
_cell_angle_beta 129.62
_cell_angle_gamma 74.02
_symmetry_space_group_name_H-M 'P 1'
_symmetry_Int_Tables_number 1
loop_
_symmetry_equiv_pos_as_xyz
'x,y,z'
loop_
_atom_site_label
_atom_site_fract_x
_atom_site_fract_y
_atom_site_fract_z
Cu1 0.0000 0.0000 0.0000
Cu2 0.7500 0.2500 0.5000
Hg1 0.2500 0.7500 0.5000
Hg2 0.5000 0.5000 0.0000
C1 0.0580 0.6250 0.9330
C2 0.3750 0.3080 0.4330
C3 0.6920 0.1250 0.0670
C4 0.8750 0.9420 0.5670


Entry 2:
# ScTi2TcHg, optimized geometry, DFT PBE
# Space-group type = P4/mmm, No. 123
# Calculated formation energy = 0.387 eV/atom
# DOS(E_F) = 6.43 states/eV/cell
data_ScTi2TcHg
_cell_length_a 4.6064
_cell_length_b 4.6064
_cell_length_c 5.2993
_cell_angle_alpha 90.00
_cell_angle_beta 90.00
_cell_angle_gamma 90.00
_symmetry_space_group_name_H-M 'P 1'
_symmetry_Int_Tables_number 1
loop_
_symmetry_equiv_pos_as_xyz
'x,y,z'
loop_
_atom_site_label
_atom_site_fract_x
_atom_site_fract_y
_atom_site_fract_z
Sc1 0.0000 0.0000 0.0000
Ti1 0.0000 0.5000 0.5000
Ti2 0.5000 0.0000 0.5000
Tc1 0.5000 0.5000 0.5000
Hg1 0.5000 0.5000 0.0000


Entry 3:
# Cs2H7Au2, optimized geometry, DFT PBE
# Space-group type = C2/m, No. 12
# DOS(E_F) = 1.71 states/eV/cell
# DFT total energy = -2.941 eV per atom
data_Cs2H7Au2
_cell_length_a 7.0029
_cell_length_b 7.0029
_cell_length_c 5.6211
_cell_angle_alpha 113.35
_cell_angle_beta 113.35
_cell_angle_gamma 83.77
_symmetry_space_group_name_H-M 'P 1'
_symmetry_Int_Tables_number 1
loop_
_symmetry_equiv_pos_as_xyz
'x,y,z'
loop_
_atom_site_label
_atom_site_fract_x
_atom_site_fract_y
_atom_site_fract_z
Cs1 0.2114 0.7886 0.0000
Cs2 0.7886 0.2114 0.0000
H1 0.0000 0.0000 0.5000
H2 0.3096 0.3904 0.3472
H3 0.3904 0.3096 0.3472
H4 0.3939 0.3939 0.8922
H5 0.6061 0.6061 0.1078
H6 0.6096 0.6904 0.6528
H7 0.6904 0.6096 0.6528
Au1 0.2027 0.2027 0.7014
Au2 0.7973 0.7973 0.2986


Entry 4:
# SbAsC, optimized geometry, DFT PBE
# Space-group type = C2/m, No. 12
# Raw formation energy = 0.5641 eV per atom
# Energy relative to the lowest polymorph listed for this composition = 42 meV/atom
data_SbAsC
_cell_length_a 8.3394
_cell_length_b 8.3394
_cell_length_c 6.8113
_cell_angle_alpha 112.96
_cell_angle_beta 112.96
_cell_angle_gamma 24.34
_symmetry_space_group_name_H-M 'P 1'
_symmetry_Int_Tables_number 1
loop_
_symmetry_equiv_pos_as_xyz
'x,y,z'
loop_
_atom_site_label
_atom_site_fract_x
_atom_site_fract_y
_atom_site_fract_z
Sb1 0.1304 0.1304 0.0466
Sb2 0.8696 0.8696 0.9534
As1 0.1936 0.1936 0.4805
As2 0.8064 0.8064 0.5195
C1 0.4562 0.4562 0.9783
C2 0.5438 0.5438 0.0217


Entry 5:
# BaSi, optimized geometry, DFT PBE
# Space-group type = P4_2/mnm, No. 136
# Raw formation energy = -0.1410 eV per atom
# DOS(E_F) = 7.63 states/eV/cell
data_BaSi
_cell_length_a 6.8025
_cell_length_b 6.8025
_cell_length_c 6.5280
_cell_angle_alpha 90.00
_cell_angle_beta 90.00
_cell_angle_gamma 90.00
_symmetry_space_group_name_H-M 'P 1'
_symmetry_Int_Tables_number 1
loop_
_symmetry_equiv_pos_as_xyz
'x,y,z'
loop_
_atom_site_label
_atom_site_fract_x
_atom_site_fract_y
_atom_site_fract_z
Ba1 0.1863 0.1863 0.0000
Ba2 0.3137 0.6863 0.5000
Ba3 0.6863 0.3137 0.5000
Ba4 0.8137 0.8137 0.0000
Si1 0.1203 0.1203 0.5000
Si2 0.3797 0.6203 0.0000
Si3 0.6203 0.3797 0.0000
Si4 0.8797 0.8797 0.5000


Entry 6:
# Na2OsRh2O6, optimized geometry, DFT PBE
# Space-group type = C2/m, No. 12
# Raw formation energy = -0.9880 eV per atom
# DOS(E_F) = 2.06 states/eV/cell
data_Na2OsRh2O6
_cell_length_a 5.4583
_cell_length_b 5.4583
_cell_length_c 5.7155
_cell_angle_alpha 99.33
_cell_angle_beta 99.33
_cell_angle_gamma 121.28
_symmetry_space_group_name_H-M 'P 1'
_symmetry_Int_Tables_number 1
loop_
_symmetry_equiv_pos_as_xyz
'x,y,z'
loop_
_atom_site_label
_atom_site_fract_x
_atom_site_fract_y
_atom_site_fract_z
Na1 0.1710 0.8290 0.0000
Na2 0.8290 0.1710 0.0000
Os1 0.0000 0.0000 0.5000
Rh1 0.3356 0.6644 0.5000
Rh2 0.6644 0.3356 0.5000
O1 0.0521 0.3914 0.6879
O2 0.2494 0.2494 0.3046
O3 0.3914 0.0521 0.6879
O4 0.6086 0.9479 0.3121
O5 0.7506 0.7506 0.6954
O6 0.9479 0.6086 0.3121


Entry 7:
# La2Nd4Sm2Mg, optimized geometry, DFT PBE
# Space-group type = P-1, No. 2
# Calculated formation energy = 0.079 eV/atom
# DOS(E_F) = 12.32 states/eV/cell
data_La2Nd4Sm2Mg
_cell_length_a 6.6018
_cell_length_b 6.6451
_cell_length_c 7.6557
_cell_angle_alpha 74.84
_cell_angle_beta 75.50
_cell_angle_gamma 85.43
_symmetry_space_group_name_H-M 'P 1'
_symmetry_Int_Tables_number 1
loop_
_symmetry_equiv_pos_as_xyz
'x,y,z'
loop_
_atom_site_label
_atom_site_fract_x
_atom_site_fract_y
_atom_site_fract_z
La1 0.1874 0.1266 0.2830
La2 0.8126 0.8734 0.7170
Nd1 0.2113 0.1669 0.8051
Nd2 0.3233 0.6694 0.0967
Nd3 0.6767 0.3306 0.9033
Nd4 0.7887 0.8331 0.1949
Sm1 0.3704 0.7035 0.6066
Sm2 0.6296 0.2965 0.3934
Mg1 0.0000 0.5000 0.5000


Entry 8:
# ReSi, optimized geometry, DFT PBE
# Space-group type = P4/nmm, No. 129
# Raw formation energy = -0.2927 eV per atom
# DOS(E_F) = 2.32 states/eV/cell
data_ReSi
_cell_length_a 3.1158
_cell_length_b 3.1158
_cell_length_c 5.6105
_cell_angle_alpha 90.00
_cell_angle_beta 90.00
_cell_angle_gamma 90.00
_symmetry_space_group_name_H-M 'P 1'
_symmetry_Int_Tables_number 1
loop_
_symmetry_equiv_pos_as_xyz
'x,y,z'
loop_
_atom_site_label
_atom_site_fract_x
_atom_site_fract_y
_atom_site_fract_z
Re1 0.2500 0.2500 0.1684
Re2 0.7500 0.7500 0.8316
Si1 0.2500 0.2500 0.6256
Si2 0.7500 0.7500 0.3744


Entry 9:
# PrHoCo, optimized geometry, DFT PBE
# Space-group type = P2_1/c, No. 14
# Calculated formation energy = -0.024 eV/atom
# Energy relative to the lowest polymorph listed for this composition = 71 meV/atom
# DOS(E_F) = 11.12 states/eV/cell
data_PrHoCo
_cell_length_a 6.7128
_cell_length_b 6.7721
_cell_length_c 8.1071
_cell_angle_alpha 90.00
_cell_angle_beta 122.72
_cell_angle_gamma 90.00
_symmetry_space_group_name_H-M 'P 1'
_symmetry_Int_Tables_number 1
loop_
_symmetry_equiv_pos_as_xyz
'x,y,z'
loop_
_atom_site_label
_atom_site_fract_x
_atom_site_fract_y
_atom_site_fract_z
Pr1 0.1958 0.1588 0.4187
Pr2 0.1958 0.3412 0.9187
Pr3 0.8042 0.6588 0.0813
Pr4 0.8042 0.8412 0.5813
Ho1 0.3074 0.6589 0.5963
Ho2 0.3074 0.8411 0.0963
Ho3 0.6926 0.1589 0.9037
Ho4 0.6926 0.3411 0.4037
Co1 0.2901 0.5241 0.2828
Co2 0.2901 0.9759 0.7828
Co3 0.7099 0.0241 0.2172
Co4 0.7099 0.4759 0.7172


Entry 10:
# Sc3Tl, optimized geometry, DFT PBE
# Space-group type = Cmcm, No. 63
# Calculated formation energy = -0.178 eV/atom
# DOS(E_F) = 8.47 states/eV/cell
data_Sc3Tl
_cell_length_a 6.3665
_cell_length_b 6.3665
_cell_length_c 5.0230
_cell_angle_alpha 90.00
_cell_angle_beta 90.00
_cell_angle_gamma 111.80
_symmetry_space_group_name_H-M 'P 1'
_symmetry_Int_Tables_number 1
loop_
_symmetry_equiv_pos_as_xyz
'x,y,z'
loop_
_atom_site_label
_atom_site_fract_x
_atom_site_fract_y
_atom_site_fract_z
Sc1 0.1201 0.8799 0.7500
Sc2 0.1723 0.3775 0.7500
Sc3 0.3775 0.1723 0.2500
Sc4 0.6225 0.8277 0.7500
Sc5 0.8277 0.6225 0.2500
Sc6 0.8799 0.1201 0.2500
Tl1 0.3316 0.6684 0.2500
Tl2 0.6684 0.3316 0.7500


Entry 11:
# K3NaMo, optimized geometry, DFT PBE
# Space-group type = Pm-3m, No. 221
# Calculated formation energy = 1.055 eV/atom
# Energy relative to the lowest polymorph listed for this composition = 0 meV/atom
# DOS(E_F) = 4.95 states/eV/cell
data_K3NaMo
_cell_length_a 6.9192
_cell_length_b 6.9192
_cell_length_c 6.9192
_cell_angle_alpha 90.00
_cell_angle_beta 90.00
_cell_angle_gamma 90.00
_symmetry_space_group_name_H-M 'P 1'
_symmetry_Int_Tables_number 1
loop_
_symmetry_equiv_pos_as_xyz
'x,y,z'
loop_
_atom_site_label
_atom_site_fract_x
_atom_site_fract_y
_atom_site_fract_z
K1 0.0000 0.0000 0.5000
K2 0.0000 0.5000 0.0000
K3 0.5000 0.0000 0.0000
Na1 0.5000 0.5000 0.5000
Mo1 0.0000 0.0000 0.0000


Entry 12:
# Ac3LaPr5, optimized geometry, DFT PBE
# Space-group type = I4/mcm, No. 140
# Calculated formation energy = 0.264 eV/atom
# DOS(E_F) = 25.68 states/eV/cell
data_Ac3LaPr5
_cell_length_a 10.5218
_cell_length_b 10.5218
_cell_length_c 10.5218
_cell_angle_alpha 127.72
_cell_angle_beta 127.72
_cell_angle_gamma 77.07
_symmetry_space_group_name_H-M 'P 1'
_symmetry_Int_Tables_number 1
loop_
_symmetry_equiv_pos_as_xyz
'x,y,z'
loop_
_atom_site_label
_atom_site_fract_x
_atom_site_fract_y
_atom_site_fract_z
Ac1 0.1279 0.6279 0.7559
Ac2 0.2500 0.2500 0.0000
Ac3 0.3721 0.1279 0.5000
Ac4 0.6279 0.8721 0.5000
Ac5 0.7500 0.7500 0.0000
Ac6 0.8721 0.3721 0.2441
La1 0.2500 0.7500 0.5000
La2 0.7500 0.2500 0.5000
Pr1 0.0000 0.0000 0.0000
Pr2 0.0548 0.1618 0.5000
Pr3 0.1618 0.6618 0.1070
Pr4 0.3382 0.4452 0.5000
Pr5 0.4452 0.9452 0.1070
Pr6 0.5000 0.5000 0.0000
Pr7 0.5548 0.0548 0.8930
Pr8 0.6618 0.5548 0.5000
Pr9 0.8382 0.3382 0.8930
Pr10 0.9452 0.8382 0.5000